Record 1
{
  "formula": "CdSb3",
  "functional": "GGA-PBEsol",
  "state": "optimized geometry",
  "lattice": [[4.681, 0.000, 0.000], [0.000, 4.681, 0.000], [0.000, 0.000, 4.681]],
  "species": ["Cd", "Sb", "Sb", "Sb"],
  "fractional_positions": [[0.000, 0.000, 0.000], [0.000, 0.500, 0.500], [0.500, 0.000, 0.500], [0.500, 0.500, 0.000]],
  "spacegroup": "Pm-3m (221)",
  "dos_at_fermi_per_ev_cell": 3.133,
  "formation_energy_uncorrected_kj_per_mol_atoms": 20,
  "total_magnetization_mub_per_cell": 0.0,
  "relative_energy_mev_per_atom": 159.7
}

Record 2
{
  "formula": "Cd5Sb",
  "functional": "GGA-PBEsol",
  "state": "optimized geometry",
  "lattice": [[2.227, -6.734, 0.000], [2.227, 6.734, 0.000], [0.000, 0.000, 4.438]],
  "species": ["Cd", "Cd", "Cd", "Cd", "Cd", "Sb"],
  "fractional_positions": [[0.000, 0.000, 0.000], [0.171, 0.829, 0.500], [0.328, 0.672, 0.000], [0.672, 0.328, 0.000], [0.829, 0.171, 0.500], [0.500, 0.500, 0.500]],
  "spacegroup": "Cmmm (65)",
  "dos_at_fermi_per_ev_cell": 2.086,
  "formation_energy_uncorrected_kj_per_mol_atoms": 5,
  "total_magnetization_mub_per_cell": 0.0,
  "relative_energy_mev_per_atom": 0.0
}

Record 3
{
  "formula": "CdSb3",
  "functional": "GGA-PBEsol",
  "state": "optimized geometry",
  "lattice": [[1.641, 0.948, 10.840], [-1.641, 0.948, 10.840], [0.000, -1.895, 10.840]],
  "species": ["Cd", "Sb", "Sb", "Sb"],
  "fractional_positions": [[0.000, 0.000, 0.000], [0.254, 0.254, 0.254], [0.500, 0.500, 0.500], [0.746, 0.746, 0.746]],
  "spacegroup": "R-3m (166)",
  "dos_at_fermi_per_ev_cell": 2.569,
  "formation_energy_uncorrected_kj_per_mol_atoms": 19,
  "total_magnetization_mub_per_cell": 0.0,
  "relative_energy_mev_per_atom": 153.1
}